# RbTlWF6

A geometry-optimized RbTlWF6 structure (GGA+U, Alexandria via LeMat-Bulk).

Properties
- SG = P-31c
- total moment (μB per cell) = 4.0
- DFT total energy (eV/atom) = -4.93

```
RbTlWF6
1.0
6.8398 0.0000 0.0000
-3.4199 5.9234 0.0000
0.0000 0.0000 9.0813
Rb Tl W F
2 2 2 12
Cartesian
0.0000 3.9490 2.2703
3.4199 1.9745 6.8110
0.0000 0.0000 0.0000
0.0000 0.0000 4.5406
0.0000 3.9490 6.8110
3.4199 1.9745 2.2703
-0.8212 2.4613 5.7121
-1.6989 3.9816 7.9098
0.8212 2.4613 7.9098
-0.8778 5.4039 5.7121
2.5421 0.5195 1.1715
1.7210 1.9418 3.3692
1.6989 3.9816 5.7121
0.8778 5.4039 7.9098
4.2977 0.5195 3.3692
2.5987 3.4621 1.1715
5.1188 1.9418 1.1715
4.2411 3.4621 3.3692
```